# 1
# Ba2AlPPd6 (PBE-GGA, optimized geometry)
data_Ba2AlPPd6
_chemical_formula_sum 'Ba4 Al2 P2 Pd12'
_cell_length_a 11.3351
_cell_length_b 6.5818
_cell_length_c 6.9181
_cell_angle_alpha 90.00
_cell_angle_beta 122.90
_cell_angle_gamma 90.00
_space_group_name_H-M_alt 'C 1 2/m 1'
_space_group_IT_number 12
_space_group_name_Hall '-C 2y'
loop_
_atom_site_label
_atom_site_fract_x
_atom_site_fract_y
_atom_site_fract_z
Ba1 0.2164 0.0000 0.1496
Al1 0.0000 0.5000 0.0000
P1 0.0000 0.0000 0.5000
Pd1 0.0428 0.2888 0.3390
Pd2 0.2461 0.0000 0.6613
# Size of the total moment = 0.00 μB/f.u.
# Total energy = -5.127 eV per atom
# Calculated formation energy = -0.711 eV per atom


# 2
# ErThFe2 (PBE-GGA, optimized geometry)
data_ErThFe2
_chemical_formula_sum 'Er2 Th2 Fe4'
_cell_length_a 3.8470
_cell_length_b 4.0551
_cell_length_c 10.5837
_cell_angle_alpha 90.00
_cell_angle_beta 90.00
_cell_angle_gamma 90.00
_space_group_name_H-M_alt 'A m m 2'
_space_group_IT_number 38
_space_group_name_Hall 'A 2 -2'
loop_
_atom_site_label
_atom_site_fract_x
_atom_site_fract_y
_atom_site_fract_z
Er1 0.0000 0.0000 0.0000
Th1 0.5000 0.0000 0.7119
Fe1 0.0000 0.0000 0.2990
Fe2 0.5000 0.0000 0.4187
# Size of the total moment = 1.77 μB/f.u.
# Total energy = -7.266 eV per atom
# Calculated formation energy = -0.039 eV per atom


# 3
# Mg3Ga5O12 (PBE-GGA, optimized geometry)
data_Mg3Ga5O12
_chemical_formula_sum 'Mg24 Ga40 O96'
_cell_length_a 12.0970
_cell_length_b 12.0970
_cell_length_c 12.0970
_cell_angle_alpha 90.00
_cell_angle_beta 90.00
_cell_angle_gamma 90.00
_space_group_name_H-M_alt 'I a -3 d'
_space_group_IT_number 230
_space_group_name_Hall '-I 4bd 2c 3'
loop_
_atom_site_label
_atom_site_fract_x
_atom_site_fract_y
_atom_site_fract_z
Mg1 0.0000 0.2500 0.1250
Ga1 0.0000 0.0000 0.0000
Ga2 0.0000 0.2500 0.3750
O1 0.0248 0.0592 0.6513
# Size of the total moment = 3.13 μB/f.u.
# Total energy = -5.712 eV per atom


# 4
# BaBiHAu (PBE-GGA, optimized geometry)
data_BaBiHAu
_chemical_formula_sum 'Ba1 Bi1 H1 Au1'
_cell_length_a 4.9269
_cell_length_b 4.9269
_cell_length_c 4.8515
_cell_angle_alpha 90.00
_cell_angle_beta 90.00
_cell_angle_gamma 120.00
_space_group_name_H-M_alt 'P 3 m 1'
_space_group_IT_number 156
_space_group_name_Hall 'P 3 -2"'
loop_
_atom_site_label
_atom_site_fract_x
_atom_site_fract_y
_atom_site_fract_z
Ba1 0.0000 0.0000 0.0000
Bi1 0.3333 0.6667 0.4671
H1 0.6667 0.3333 0.9266
Au1 0.6667 0.3333 0.5703
# Size of the total moment = 0.00 μB/f.u.
# Total energy = -3.597 eV per atom


# 5
# K6Bi3Sb (PBE-GGA, optimized geometry)
data_K6Bi3Sb
_chemical_formula_sum 'K12 Bi6 Sb2'
_cell_length_a 10.5433
_cell_length_b 6.9007
_cell_length_c 15.5427
_cell_angle_alpha 90.00
_cell_angle_beta 131.93
_cell_angle_gamma 90.00
_space_group_name_H-M_alt 'P 1 21/c 1'
_space_group_IT_number 14
_space_group_name_Hall '-P 2ybc'
loop_
_atom_site_label
_atom_site_fract_x
_atom_site_fract_y
_atom_site_fract_z
K1 0.1032 0.0689 0.4323
K2 0.2513 0.5642 0.4268
K3 0.3932 0.7455 0.2450
Bi1 0.2413 0.2167 0.2454
Bi2 0.5000 0.0000 0.5000
Sb1 0.0000 0.0000 0.0000
# Size of the total moment = 0.00 μB/f.u.
# Total energy = -2.532 eV per atom


# 6
# LaMnSi2 (PBE-GGA, optimized geometry)
data_LaMnSi2
_chemical_formula_sum 'La4 Mn4 Si8'
_cell_length_a 6.8185
_cell_length_b 6.8185
_cell_length_c 6.8185
_cell_angle_alpha 90.00
_cell_angle_beta 90.00
_cell_angle_gamma 90.00
_space_group_name_H-M_alt 'F m -3 m'
_space_group_IT_number 225
_space_group_name_Hall '-F 4 2 3'
loop_
_atom_site_label
_atom_site_fract_x
_atom_site_fract_y
_atom_site_fract_z
La1 0.0000 0.0000 0.0000
Mn1 0.0000 0.0000 0.5000
Si1 0.2500 0.2500 0.2500
# Size of the total moment = 3.47 μB/f.u.
# Total energy = -6.209 eV per atom


# 7
# Rb2GaSeF6 (PBE-GGA, optimized geometry)
data_Rb2GaSeF6
_chemical_formula_sum 'Rb4 Ga2 Se2 F12'
_cell_length_a 6.8845
_cell_length_b 6.8845
_cell_length_c 8.1469
_cell_angle_alpha 90.00
_cell_angle_beta 90.00
_cell_angle_gamma 90.00
_space_group_name_H-M_alt 'I 4/m m m'
_space_group_IT_number 139
_space_group_name_Hall '-I 4 2'
loop_
_atom_site_label
_atom_site_fract_x
_atom_site_fract_y
_atom_site_fract_z
Rb1 0.0000 0.5000 0.2500
Ga1 0.0000 0.0000 0.0000
Se1 0.0000 0.0000 0.5000
F1 0.0000 0.0000 0.2524
F2 0.1929 0.1929 0.0000
# Size of the total moment = 1.00 μB/f.u.
# Total energy = -4.194 eV per atom


# 8
# Pr2MgTiPt6 (PBE-GGA, optimized geometry)
data_Pr2MgTiPt6
_chemical_formula_sum 'Pr4 Mg2 Ti2 Pt12'
_cell_length_a 9.9705
_cell_length_b 5.7568
_cell_length_c 8.7819
_cell_angle_alpha 90.00
_cell_angle_beta 112.16
_cell_angle_gamma 90.00
_space_group_name_H-M_alt 'C 1 2/m 1'
_space_group_IT_number 12
_space_group_name_Hall '-C 2y'
loop_
_atom_site_label
_atom_site_fract_x
_atom_site_fract_y
_atom_site_fract_z
Pr1 0.2066 0.0000 0.1204
Mg1 0.0000 0.0000 0.5000
Ti1 0.0000 0.5000 0.0000
Pt1 0.0092 0.2444 0.7713
Pt2 0.2462 0.5000 0.2289
# Size of the total moment = 0.00 μB/f.u.
# Total energy = -6.289 eV per atom
# Calculated formation energy = -0.759 eV per atom